(1)
HfSc4Ag3 after structural relaxation. Source: Alexandria, functional PBE-GGA.

Values from the calculation:
**Energy of formation**: -0.185 eV/atom
**Total DFT energy (no corrections)**: -0.20814 hartree per atom
**Magnetic moment**: 0.000 μB/f.u.

Cell: 3.318 3.318 15.241 Å, 90.00 90.00 90.00°
Space group P4/mmm (No. 123)
Inequivalent atoms, fractional coordinates:
Hf1 0.000 0.000 0.000 x1
Sc1 0.500 0.500 0.139 x2
Sc2 0.500 0.500 0.382 x2
Ag1 0.000 0.000 0.263 x2
Ag2 0.000 0.000 0.500 x1


(2)
LiPuSbIr after structural relaxation. Source: Alexandria, functional PBE-GGA.

Values from the calculation:
**Total DFT energy (no corrections)**: -0.28580 hartree per atom
**Magnetic moment**: 4.988 μB/f.u.
**Formation energy (no corrections)**: -0.4699 eV per atom

Cell: 6.709 6.709 6.709 Å, 90.00 90.00 90.00°
Space group F-43m (No. 216)
Inequivalent atoms, fractional coordinates:
Li1 0.000 0.000 0.000 x4
Pu1 0.250 0.250 0.250 x4
Sb1 0.250 0.250 0.750 x4
Ir1 0.000 0.000 0.500 x4


(3)
LiNpSc2Se4 after structural relaxation. Source: Alexandria, functional PBE-GGA.

Values from the calculation:
**Total DFT energy (no corrections)**: -0.24379 hartree per atom
**Magnetic moment**: 4.592 μB/f.u.
**Formation energy (no corrections)**: -1.4519 eV per atom

Cell: 6.821 3.927 6.892 Å, 90.00 109.17 90.00°
Space group P2/m (No. 10)
Inequivalent atoms, fractional coordinates:
Li1 0.000 0.000 0.000 x1
Np1 0.500 0.500 0.000 x1
Sc1 0.000 0.500 0.500 x1
Sc2 0.500 0.000 0.500 x1
Se1 0.238 0.000 0.738 x2
Se2 0.246 0.500 0.260 x2


Which of these has the highest magnetic moment? LiPuSbIr